Entry 1:
Here is an optimized crystal structure of ScTcPb2O6 from OQMD. Energies are from GGA-PBE.

Structure (CIF):
```
data_ScTcPb2O6
_symmetry_space_group_name_H-M 'F m -3 m'
_symmetry_Int_Tables_number 225
_symmetry_space_group_name_Hall '-F 4 2 3'
_cell_length_a 8.0358
_cell_length_b 8.0358
_cell_length_c 8.0358
_cell_angle_alpha 90.00
_cell_angle_beta 90.00
_cell_angle_gamma 90.00
loop_
_atom_site_label
_atom_site_fract_x
_atom_site_fract_y
_atom_site_fract_z
Sc1 0.0000 0.0000 0.0000
Tc1 0.0000 0.0000 0.5000
Pb1 0.2500 0.2500 0.2500
O1 0.0000 0.0000 0.2570
```

Output
Total DFT energy (no corrections)   -7.16 eV/atom

---

Entry 2:
Here is an optimized crystal structure of BaGaAg from OQMD. Energies are from GGA-PBE.

Structure (CIF):
```
data_BaGaAg
_symmetry_space_group_name_H-M 'F -4 3 m'
_symmetry_Int_Tables_number 216
_symmetry_space_group_name_Hall 'F -4 2 3'
_cell_length_a 7.6654
_cell_length_b 7.6654
_cell_length_c 7.6654
_cell_angle_alpha 90.00
_cell_angle_beta 90.00
_cell_angle_gamma 90.00
loop_
_atom_site_label
_atom_site_fract_x
_atom_site_fract_y
_atom_site_fract_z
Ba1 0.0000 0.0000 0.0000
Ga1 0.2500 0.2500 0.2500
Ag1 0.2500 0.2500 0.7500
```

Output
Total DFT energy (no corrections)   -2.32 eV/atom

---

Entry 3:
Here is an optimized crystal structure of HfGa2As from OQMD. Energies are from GGA-PBE.

Structure (CIF):
```
data_HfGa2As
_symmetry_space_group_name_H-M 'F -4 3 m'
_symmetry_Int_Tables_number 216
_symmetry_space_group_name_Hall 'F -4 2 3'
_cell_length_a 6.7082
_cell_length_b 6.7082
_cell_length_c 6.7082
_cell_angle_alpha 90.00
_cell_angle_beta 90.00
_cell_angle_gamma 90.00
loop_
_atom_site_label
_atom_site_fract_x
_atom_site_fract_y
_atom_site_fract_z
Hf1 0.0000 0.0000 0.0000
Ga1 0.0000 0.0000 0.5000
Ga2 0.2500 0.2500 0.2500
As1 0.2500 0.2500 0.7500
```

Output
Total DFT energy (no corrections)   -5.18 eV/atom

---

Entry 4:
Here is an optimized crystal structure of YCu4Pd from OQMD. Energies are from GGA-PBE.

Structure (CIF):
```
data_YCu4Pd
_symmetry_space_group_name_H-M 'F -4 3 m'
_symmetry_Int_Tables_number 216
_symmetry_space_group_name_Hall 'F -4 2 3'
_cell_length_a 7.0784
_cell_length_b 7.0784
_cell_length_c 7.0784
_cell_angle_alpha 90.00
_cell_angle_beta 90.00
_cell_angle_gamma 90.00
loop_
_atom_site_label
_atom_site_fract_x
_atom_site_fract_y
_atom_site_fract_z
Y1 0.0000 0.0000 0.0000
Cu1 0.1238 0.1238 0.3762
Pd1 0.2500 0.2500 0.7500
```

Output
Energy relative to the elements   -0.353 eV per atom

---

Entry 5:
Here is an optimized crystal structure of AcZn from OQMD. Energies are from GGA-PBE.

Structure (CIF):
```
data_AcZn
_symmetry_space_group_name_H-M 'F m -3 m'
_symmetry_Int_Tables_number 225
_symmetry_space_group_name_Hall '-F 4 2 3'
_cell_length_a 6.5106
_cell_length_b 6.5106
_cell_length_c 6.5106
_cell_angle_alpha 90.00
_cell_angle_beta 90.00
_cell_angle_gamma 90.00
loop_
_atom_site_label
_atom_site_fract_x
_atom_site_fract_y
_atom_site_fract_z
Ac1 0.0000 0.0000 0.0000
Zn1 0.0000 0.0000 0.5000
```

Output
Energy relative to the elements   0.012 eV per atom

---

Entry 6:
Here is an optimized crystal structure of ZnH8C2I2N4O2 from OQMD. Energies are from GGA-PBE.

Structure (CIF):
```
data_ZnH8C2I2N4O2
_symmetry_space_group_name_H-M 'P 1 21/c 1'
_symmetry_Int_Tables_number 14
_symmetry_space_group_name_Hall '-P 2ybc'
_cell_length_a 11.6574
_cell_length_b 6.4964
_cell_length_c 13.2202
_cell_angle_alpha 90.00
_cell_angle_beta 108.72
_cell_angle_gamma 90.00
loop_
_atom_site_label
_atom_site_fract_x
_atom_site_fract_y
_atom_site_fract_z
Zn1 0.1421 0.0585 0.2570
H1 0.0192 0.6557 0.0656
H2 0.0542 0.0993 0.9431
H3 0.2212 0.0213 0.0881
H4 0.2856 0.2067 0.1748
H5 0.3404 0.5643 0.9581
H6 0.3638 0.5460 0.4416
H7 0.4234 0.0698 0.5748
H8 0.4404 0.0773 0.0641
C1 0.1283 0.1971 0.5664
C2 0.3278 0.2441 0.4453
I1 0.0912 0.7013 0.3185
I2 0.3991 0.7293 0.7767
N1 0.0504 0.2429 0.9726
N2 0.2040 0.1448 0.1295
N3 0.3567 0.0689 0.5012
N4 0.3701 0.0746 0.9933
O1 0.1341 0.0224 0.6047
O2 0.2566 0.2500 0.3490
```

Output
Total DFT energy (no corrections)   -5.37 eV/atom